Crystalline CeZrScSn at its relaxed geometry. Source: Alexandria, functional PBE.

Summary:
Its formation energy is -0.221 eV per atom. The total energy comes out at -25.701 eV/cell. Its total moment is 1.766 Bohr magnetons per cell. As for the space group: No. 216.

Cell: 5.100 5.100 5.100 Å, 60.00 60.00 60.00°
Fractional positions:
Ce  0.000  0.000  0.000
Zr  0.750  0.750  0.750
Sc  0.250  0.250  0.250
Sn  0.500  0.500  0.500

=====

Crystalline CaUTi2O8 at its relaxed geometry. Source: Alexandria, functional PBE.

Summary:
The uncorrected formation energy comes out at -3.015 eV per atom. The total energy comes out at -104.931 eV/cell. Its total moment is 0.000 Bohr magnetons per cell. As for the space group: No. 82.

Cell: 6.555 6.555 6.555 Å, 134.02 134.02 67.06°
Fractional positions:
Ca  0.000  0.000  0.000
U  0.250  0.750  0.500
Ti  0.500  0.500  0.000
Ti  0.750  0.250  0.500
O  0.019  0.068  0.429
O  0.239  0.659  0.086
O  0.341  0.428  0.581
O  0.409  0.981  0.049
O  0.572  0.153  0.914
O  0.640  0.591  0.571
O  0.847  0.761  0.419
O  0.932  0.360  0.951

=====

Crystalline Ac2Hg2Pt3 at its relaxed geometry. Source: Alexandria, functional PBE.

Summary:
Its formation energy is -0.701 eV per atom. The total energy comes out at -63.694 eV/cell. Its total moment is 0.000 Bohr magnetons per cell. As for the space group: No. 12.

Cell: 8.255 8.255 13.064 Å, 122.84 122.84 30.44°
Fractional positions:
Ac  0.111  0.111  0.454
Ac  0.234  0.234  0.835
Ac  0.766  0.766  0.165
Ac  0.889  0.889  0.546
Hg  0.090  0.090  0.161
Hg  0.448  0.448  0.184
Hg  0.552  0.552  0.816
Hg  0.910  0.910  0.839
Pt  0.129  0.129  0.979
Pt  0.331  0.331  0.668
Pt  0.421  0.421  0.380
Pt  0.579  0.579  0.620
Pt  0.669  0.669  0.332
Pt  0.871  0.871  0.021

=====

Crystalline Er3AlTl3Te8 at its relaxed geometry. Source: Alexandria, functional PBE.

Summary:
The uncorrected formation energy comes out at -0.842 eV per atom. The total energy comes out at -62.296 eV/cell. Its total moment is 0.000 Bohr magnetons per cell. As for the space group: No. 12.

Cell: 8.668 8.668 9.597 Å, 116.87 116.87 59.93°
Fractional positions:
Er  0.000  0.000  0.000
Er  0.000  0.500  0.000
Er  0.500  0.000  0.000
Al  0.500  0.500  0.000
Tl  0.000  0.500  0.500
Tl  0.500  0.000  0.500
Tl  0.500  0.500  0.500
Te  0.238  0.238  0.215
Te  0.254  0.723  0.201
Te  0.277  0.277  0.799
Te  0.277  0.746  0.799
Te  0.723  0.254  0.201
Te  0.723  0.723  0.201
Te  0.746  0.277  0.799
Te  0.762  0.762  0.785